A plane-wave DFT calculation with PBE was carried out for a relaxed structure of BeGa2Cu8.

Electronic total energy ... -3.92 eV per atom

abc: 3.670 5.691 6.840
angles: 103.11 105.56 90.00
Positions (direct):
Cu: 0.325 0.095 0.650
Cu: 0.777 0.365 0.555
Cu: 0.587 0.446 0.174
Cu: 0.413 0.554 0.826
Cu: 0.223 0.635 0.445
Cu: 0.958 0.260 0.917
Cu: 0.675 0.905 0.350
Cu: 0.042 0.740 0.083
Ga: 0.859 0.816 0.719
Ga: 0.141 0.184 0.281
Be: 0.500 0.000 0.000

***

A plane-wave DFT calculation with PBE was carried out for a relaxed structure of BeGa2Cu.

Electronic total energy ... -3.33 eV per atom

abc: 3.743 3.788 3.788
angles: 90.00 90.00 90.00
Positions (direct):
Ga: 0.000 0.500 0.000
Ga: 0.000 0.000 0.500
Cu: 0.500 0.500 0.500
Be: 0.500 0.000 0.000

***

A plane-wave DFT calculation with PBE was carried out for a relaxed structure of BeGa2Cu.

Electronic total energy ... -3.16 eV per atom

abc: 2.870 2.870 8.654
angles: 80.45 80.45 60.00
Positions (direct):
Ga: 0.911 0.911 0.266
Ga: 0.089 0.089 0.734
Cu: 0.500 0.500 0.500
Be: 0.000 0.000 0.000

***

A plane-wave DFT calculation with PBE was carried out for a relaxed structure of BeGaCu5.

Electronic total energy ... -3.50 eV per atom

abc: 10.955 4.635 6.371
angles: 111.33 149.29 90.00
Positions (direct):
Cu: 0.756 0.750 0.500
Cu: 0.285 0.500 0.000
Cu: 0.672 0.755 0.000
Cu: 0.672 0.245 0.000
Cu: 0.256 0.250 0.500
Ga: 0.050 0.500 0.000
Be: 0.841 0.000 0.000

***

A plane-wave DFT calculation with PBE was carried out for a relaxed structure of BeGa2Cu.

Electronic total energy ... -3.14 eV per atom

abc: 7.742 7.742 5.888
angles: 48.90 48.90 90.00
Positions (direct):
Ga: 0.375 0.485 0.750
Ga: 0.235 0.625 0.250
Ga: 0.875 0.765 0.750
Ga: 0.515 0.125 0.250
Be: 0.250 0.750 0.500
Be: 0.500 0.500 0.000
Cu: 0.750 0.250 0.500
Cu: 0.000 0.000 0.000

***

A plane-wave DFT calculation with PBE was carried out for a relaxed structure of BeGaCu3.

E above lowest polymorph ... 0.976 eV/atom

abc: 4.423 4.423 4.423
angles: 90.00 90.00 90.00
Positions (direct):
Be: 0.500 0.500 0.500
Cu: 0.500 0.000 0.000
Cu: 0.000 0.500 0.000
Cu: 0.000 0.000 0.500
Ga: 0.000 0.000 0.000